No. 1
Entry from Alexandria via LeMat-Bulk: crystalline K7Cu at its relaxed geometry (PBE).

Values from the calculation:
Formation energy from the elements in meV/atom: 217

abc: 12.5229 12.5229 12.5229
angles: 90.00 90.00 90.00
Space group Fm-3m (No. 225)
Unique sites:
1 K 0.0000 0.0000 0.0000 (multiplicity 4)
2 K 0.0000 0.2500 0.2500 (multiplicity 24)
3 Cu 0.0000 0.0000 0.5000 (multiplicity 4)

---

No. 2
Entry from Alexandria via LeMat-Bulk: crystalline KCu5 at its relaxed geometry (PBE).

Values from the calculation:
Formation energy from the elements in meV/atom: 343

abc: 7.2067 7.2067 7.2067
angles: 90.00 90.00 90.00
Space group F-43m (No. 216)
Unique sites:
1 K 0.0000 0.0000 0.0000 (multiplicity 4)
2 Cu 0.1235 0.1235 0.3765 (multiplicity 16)
3 Cu 0.2500 0.2500 0.7500 (multiplicity 4)

---

No. 3
Entry from Alexandria via LeMat-Bulk: crystalline K4Cu5 at its relaxed geometry (PBE).

Values from the calculation:
Offset from the most stable computed form in meV per atom: 165
Formation energy from the elements in meV/atom: 649

abc: 9.8673 9.8673 6.1537
angles: 90.00 90.00 120.00
Space group P6_3/mcm (No. 193)
Unique sites:
1 K 0.0000 0.0000 0.0000 (multiplicity 2)
2 K 0.0000 0.3769 0.2500 (multiplicity 6)
3 Cu 0.0000 0.2966 0.7500 (multiplicity 6)
4 Cu 0.3333 0.6667 0.0000 (multiplicity 4)

---

No. 4
Entry from Alexandria via LeMat-Bulk: crystalline K2LaCu2 at its relaxed geometry (PBE).

Values from the calculation:
Formation energy from the elements in meV/atom: 363

abc: 4.4486 4.4486 15.2041
angles: 90.00 90.00 90.00
Space group I4/mmm (No. 139)
Unique sites:
1 K 0.0000 0.5000 0.2500 (multiplicity 4)
2 La 0.0000 0.0000 0.0000 (multiplicity 2)
3 Cu 0.0000 0.0000 0.4218 (multiplicity 4)

---

No. 5
Entry from Alexandria via LeMat-Bulk: crystalline K2La2Cu at its relaxed geometry (PBE).

Values from the calculation:
Offset from the most stable computed form in meV per atom: 247
Formation energy from the elements in meV/atom: 586

abc: 4.2941 4.2941 20.7187
angles: 90.00 90.00 90.00
Space group I4/mmm (No. 139)
Unique sites:
1 K 0.0000 0.5000 0.2500 (multiplicity 4)
2 La 0.0000 0.0000 0.0727 (multiplicity 4)
3 Cu 0.0000 0.0000 0.5000 (multiplicity 2)

---

No. 6
Entry from Alexandria via LeMat-Bulk: crystalline K2La2Cu at its relaxed geometry (PBE).

Values from the calculation:
Offset from the most stable computed form in meV per atom: 260
Formation energy from the elements in meV/atom: 599

abc: 4.4099 4.4099 22.8800
angles: 90.00 90.00 90.00
Space group I4/mmm (No. 139)
Unique sites:
1 K 0.0000 0.0000 0.0827 (multiplicity 4)
2 La 0.0000 0.5000 0.2500 (multiplicity 4)
3 Cu 0.0000 0.0000 0.5000 (multiplicity 2)

---

No. 7
Entry from Alexandria via LeMat-Bulk: crystalline K2La2Cu at its relaxed geometry (PBE).

Values from the calculation:
Offset from the most stable computed form in meV per atom: 0
Formation energy from the elements in meV/atom: 339

abc: 7.6269 7.6269 7.2973
angles: 90.00 90.00 90.00
Space group P4/mbm (No. 127)
Unique sites:
1 K 0.1875 0.3125 0.0000 (multiplicity 4)
2 La 0.1638 0.6638 0.5000 (multiplicity 4)
3 Cu 0.0000 0.0000 0.5000 (multiplicity 2)

---

No. 8
Entry from Alexandria via LeMat-Bulk: crystalline KLa2Cu at its relaxed geometry (PBE).

Values from the calculation:
Offset from the most stable computed form in meV per atom: 422
Formation energy from the elements in meV/atom: 521

abc: 4.6990 4.6990 11.5243
angles: 90.00 90.00 90.00
Space group I-4m2 (No. 119)
Unique sites:
1 K 0.0000 0.0000 0.0000 (multiplicity 2)
2 La 0.0000 0.0000 0.5000 (multiplicity 2)
3 La 0.0000 0.5000 0.7500 (multiplicity 2)
4 Cu 0.0000 0.5000 0.2500 (multiplicity 2)

---

No. 9
Entry from Alexandria via LeMat-Bulk: crystalline KLaCu at its relaxed geometry (PBE).

Values from the calculation:
Offset from the most stable computed form in meV per atom: 292
Formation energy from the elements in meV/atom: 470

abc: 7.3982 7.3982 7.3982
angles: 90.00 90.00 90.00
Space group F-43m (No. 216)
Unique sites:
1 K 0.0000 0.0000 0.0000 (multiplicity 4)
2 La 0.0000 0.0000 0.5000 (multiplicity 4)
3 Cu 0.2500 0.2500 0.2500 (multiplicity 4)

---

No. 10
Entry from Alexandria via LeMat-Bulk: crystalline K2La2Cu at its relaxed geometry (PBE).

Values from the calculation:
Offset from the most stable computed form in meV per atom: 352
Formation energy from the elements in meV/atom: 691

abc: 7.6295 7.6295 6.6807
angles: 90.00 90.00 90.00
Space group P4/mbm (No. 127)
Unique sites:
1 K 0.1492 0.3508 0.0000 (multiplicity 4)
2 La 0.1759 0.6759 0.5000 (multiplicity 4)
3 Cu 0.0000 0.0000 0.0000 (multiplicity 2)

---

No. 11
Entry from Alexandria via LeMat-Bulk: crystalline KLaCu at its relaxed geometry (PBE).

Values from the calculation:
Offset from the most stable computed form in meV per atom: 47
Formation energy from the elements in meV/atom: 225

abc: 14.2900 4.0789 8.5324
angles: 90.00 114.45 90.00
Space group Cm (No. 8)
Unique sites:
1 K 0.0000 0.0000 0.0000 (multiplicity 2)
2 K 0.2422 0.0000 0.9092 (multiplicity 2)
3 La 0.2294 0.5000 0.4428 (multiplicity 2)
4 La 0.4667 0.0000 0.5212 (multiplicity 2)
5 Cu 0.0713 0.0000 0.4103 (multiplicity 2)
6 Cu 0.3723 0.5000 0.2649 (multiplicity 2)

---

No. 12
Entry from Alexandria via LeMat-Bulk: crystalline K3LaCu at its relaxed geometry (PBE).

Values from the calculation:
Formation energy from the elements in meV/atom: 1230

abc: 7.3045 7.3045 7.3045
angles: 90.00 90.00 90.00
Space group Pm-3m (No. 221)
Unique sites:
1 K 0.0000 0.0000 0.5000 (multiplicity 3)
2 La 0.0000 0.0000 0.0000 (multiplicity 1)
3 Cu 0.5000 0.5000 0.5000 (multiplicity 1)